# 1
A relaxed TbDyBr2O2 crystal. Source: the Open Quantum Materials Database, functional PBE-GGA.

Lattice parameters (Å, degrees): 3.838 3.838 8.441 90.00 90.00 90.00
Positions (direct):
Br1 0.000 0.000 0.331
Br2 0.500 0.500 0.669
Dy1 0.500 0.500 0.135
O1 0.500 0.000 0.001
O2 0.000 0.500 0.001
Tb1 0.000 0.000 0.864

Computed properties:
Crystal system: tetragonal
Theoretical density, g/cm³: 6.85
VASP energy, eV per atom: -6.674
SG: No. 99
Size of the total moment, μB per cell: 0.00

=====

# 2
A relaxed DyYBr2O2 crystal. Source: the Open Quantum Materials Database, functional PBE-GGA.

Lattice parameters (Å, degrees): 3.837 3.837 8.420 90.00 90.00 90.00
Positions (direct):
Br1 0.000 0.000 0.332
Br2 0.500 0.500 0.669
Dy1 0.000 0.000 0.865
O1 0.500 0.000 0.999
O2 0.000 0.500 0.999
Y1 0.500 0.500 0.136

Computed properties:
Crystal system: tetragonal
Theoretical density, g/cm³: 5.94
VASP energy, eV per atom: -6.961
SG: No. 99
Size of the total moment, μB per cell: 0.00

=====

# 3
A relaxed TbDyPBr2 crystal. Source: the Open Quantum Materials Database, functional PBE-GGA.

Lattice parameters (Å, degrees): 4.012 4.012 10.570 90.00 90.00 120.00
Positions (direct):
Br1 0.333 0.667 0.318
Br2 0.000 0.000 0.684
Dy1 0.333 0.667 0.856
P1 0.667 0.333 0.999
Tb1 0.000 0.000 0.144

Computed properties:
Crystal system: trigonal
Theoretical density, g/cm³: 5.77
VASP energy, eV per atom: -5.374
SG: No. 156
Size of the total moment, μB per cell: 0.01

=====

# 4
A relaxed DyYPBr2 crystal. Source: the Open Quantum Materials Database, functional PBE-GGA.

Lattice parameters (Å, degrees): 4.004 4.004 10.853 90.00 90.00 120.00
Positions (direct):
Br1 0.000 0.000 0.191
Br2 0.667 0.333 0.808
Dy1 0.000 0.000 0.640
P1 0.333 0.667 0.501
Y1 0.667 0.333 0.360

Computed properties:
Crystal system: trigonal
Theoretical density, g/cm³: 4.87
VASP energy, eV per atom: -5.743
SG: No. 156
Size of the total moment, μB per cell: 0.01

=====

# 5
A relaxed Pr2Dy2SiBr5 crystal. Source: the Open Quantum Materials Database, functional PBE-GGA.

Lattice parameters (Å, degrees): 9.457 9.457 8.800 101.84 101.84 25.17
Positions (direct):
Br1 0.823 0.823 0.143
Br2 0.169 0.169 0.311
Br3 0.500 0.500 0.500
Br4 0.831 0.831 0.689
Br5 0.177 0.177 0.857
Dy1 0.649 0.649 0.076
Dy2 0.351 0.351 0.924
Pr1 0.999 0.999 0.224
Pr2 0.001 0.001 0.776
Si1 0.500 0.500 0.000

Computed properties:
Crystal system: monoclinic
Theoretical density, g/cm³: 5.25
VASP energy, eV per atom: -4.749
SG: No. 12
Size of the total moment, μB per cell: 0.01

=====

# 6
A relaxed Rb3DyBr6 crystal. Source: the Open Quantum Materials Database, functional PBE-GGA.

Lattice parameters (Å, degrees): 8.086 8.582 13.950 90.00 124.31 90.00
Positions (direct):
Br1 0.333 0.178 0.054
Br2 0.238 0.728 0.073
Br3 0.100 0.050 0.225
Br4 0.900 0.550 0.275
Br5 0.762 0.228 0.427
Br6 0.667 0.678 0.446
Br7 0.333 0.322 0.554
Br8 0.238 0.772 0.573
Br9 0.100 0.450 0.725
Br10 0.900 0.950 0.775
Br11 0.762 0.272 0.927
Br12 0.667 0.822 0.946
Dy1 0.000 0.000 0.000
Dy2 0.000 0.500 0.500
Rb1 0.500 0.500 0.000
Rb2 0.715 0.925 0.244
Rb3 0.285 0.425 0.256
Rb4 0.500 0.000 0.500
Rb5 0.715 0.575 0.744
Rb6 0.285 0.075 0.756

Computed properties:
Crystal system: monoclinic
Theoretical density, g/cm³: 3.73
VASP energy, eV per atom: -3.593
SG: No. 14
Size of the total moment, μB per cell: 0.00

=====

# 7
A relaxed RbDyBr3 crystal. Source: the Open Quantum Materials Database, functional PBE-GGA.

Lattice parameters (Å, degrees): 7.929 7.929 7.929 120.03 120.03 89.95
Positions (direct):
Br1 0.250 0.250 0.000
Br2 0.750 0.250 0.000
Br3 0.250 0.750 0.000
Br4 0.750 0.750 0.000
Br5 0.750 0.750 0.500
Br6 0.250 0.250 0.500
Dy1 0.000 0.000 0.000
Dy2 0.500 0.500 0.000
Rb1 0.750 0.250 0.500
Rb2 0.250 0.750 0.500

Computed properties:
Crystal system: cubic
Theoretical density, g/cm³: 4.60
VASP energy, eV per atom: -3.670
SG: No. 221
Size of the total moment, μB per cell: 0.02

=====

# 8
A relaxed DySBr crystal. Source: the Open Quantum Materials Database, functional PBE-GGA.

Lattice parameters (Å, degrees): 4.070 5.367 8.803 90.00 90.00 90.00
Positions (direct):
Br1 0.000 0.000 0.354
Br2 0.500 0.500 0.646
Dy1 0.500 0.000 0.131
Dy2 0.000 0.500 0.869
S1 0.500 0.500 0.079
S2 0.000 0.000 0.920

Computed properties:
Crystal system: orthorhombic
Theoretical density, g/cm³: 4.74
VASP energy, eV per atom: -5.484
Distance to the lowest polymorph of the same formula, meV/atom: 0.0
SG: No. 59
Size of the total moment, μB per cell: 0.00